La2PrZn2Ga2: relaxed, PBE-GGA.

Values from the calculation:
The crystal system is trigonal. The energy of formation is -0.43 eV/atom. The total energy is -78.76 eV per cell. The value obtained for the density of states at the Fermi level is 12.85 states/eV per cell.

Geometry as CIF:
```
data_La2PrZn2Ga2
_cell_length_a 4.4702
_cell_length_b 4.4702
_cell_length_c 28.7412
_cell_angle_alpha 90.00
_cell_angle_beta 90.00
_cell_angle_gamma 120.00
_symmetry_space_group_name_H-M 'R -3 m'
_symmetry_Int_Tables_number 166
_symmetry_space_group_name_Hall '-R 3 2"'
loop_
_atom_site_label
_atom_site_fract_x
_atom_site_fract_y
_atom_site_fract_z
La1 0.0000 0.0000 0.1373
Pr1 0.0000 0.0000 0.0000
Zn1 0.0000 0.0000 0.4040
Ga1 0.0000 0.0000 0.2627
```